(1)
LiTa4Co after structural relaxation, computed with GGA-PBE.

Computed properties:
M_tot: 0.65 μB/f.u.
calculated density: 11.9 g/cm3
formation energy from the elements: 740.8 meV/atom
N(E_F): 1.239 states/eV per atom
volume: 110.6 Å³/f.u.

a = 7.620 Å, b = 7.620 Å, c = 7.620 Å
α = 90.00°, β = 90.00°, γ = 90.00°
Space group F-43m (No. 216)
One atom of each set of equivalent atoms:
Li  0.000  0.000  0.000
Ta  0.125  0.125  0.375
Co  0.250  0.250  0.750


(2)
La2TlCrC after structural relaxation, computed with GGA-PBE.

Computed properties:
M_tot: 2.64 μB/f.u.
calculated density: 7.6 g/cm3
formation energy from the elements: -139.3 meV/atom
N(E_F): 0.829 states/eV per atom
volume: 119.3 Å³/f.u.

a = 5.474 Å, b = 5.474 Å, c = 3.981 Å
α = 90.00°, β = 90.00°, γ = 90.00°
Space group P4/mmm (No. 123)
One atom of each set of equivalent atoms:
La  0.000  0.500  0.000
Tl  0.000  0.000  0.500
Cr  0.500  0.500  0.500
C  0.500  0.500  0.000


(3)
ThRe2 after structural relaxation, computed with GGA-PBE.

Computed properties:
M_tot: 0.00 μB/f.u.
calculated density: 16.8 g/cm3
formation energy from the elements: -40.4 meV/atom
N(E_F): 2.263 states/eV per atom
volume: 59.8 Å³/f.u.

a = 7.819 Å, b = 7.819 Å, c = 7.819 Å
α = 90.00°, β = 90.00°, γ = 90.00°
Space group Fd-3m (No. 227, origin choice 2)
One atom of each set of equivalent atoms:
Th  0.125  0.125  0.125
Re  0.000  0.000  0.500


(4)
CsZnP after structural relaxation, computed with GGA-PBE.

Computed properties:
M_tot: 0.00 μB/f.u.
calculated density: 3.0 g/cm3
formation energy from the elements: -338.3 meV/atom
N(E_F): 0.000 states/eV per atom
volume: 125.4 Å³/f.u.

a = 5.600 Å, b = 6.889 Å, c = 7.813 Å
α = 67.69°, β = 89.95°, γ = 66.14°
Space group P1 (No. 1)
One atom of each set of equivalent atoms:
Cs  0.000  0.000  0.000
Cs  0.368  0.265  0.365
Zn  0.421  0.661  0.740
Zn  0.915  0.662  0.739
P  0.115  0.770  0.498
P  0.702  0.593  0.983


(5)
Ho2TeS4 after structural relaxation, computed with GGA-PBE.

Computed properties:
M_tot: 2.03 μB/f.u.
energy relative to the elements, uncorrected: -0.959 eV/atom
calculated density: 3.9 g/cm3
N(E_F): 0.053 states/eV per atom
volume: 252.6 Å³/f.u.

a = 6.036 Å, b = 6.036 Å, c = 13.868 Å
α = 90.00°, β = 90.00°, γ = 90.00°
Space group I-42m (No. 121)
One atom of each set of equivalent atoms:
Ho  0.000  0.500  0.250
Te  0.000  0.000  0.000
S  0.234  0.234  0.144


(6)
AcErO4 after structural relaxation, computed with GGA-PBE.

Computed properties:
M_tot: 0.00 μB/f.u.
energy relative to the elements, uncorrected: -2.862 eV/atom
calculated density: 8.5 g/cm3
N(E_F): 0.000 states/eV per atom
volume: 89.8 Å³/f.u.
ΔE to the lowest computed polymorph: 0 meV/atom

a = 6.834 Å, b = 4.045 Å, c = 6.556 Å
α = 90.00°, β = 97.59°, γ = 90.00°
Space group Cm (No. 8)
One atom of each set of equivalent atoms:
Ac  0.000  0.000  0.000
Er  0.109  0.500  0.537
O  0.146  0.500  0.880
O  0.214  0.000  0.359
O  0.377  0.000  0.222
O  0.448  0.500  0.603


What did the fifth record say?
Ho2TeS4 after structural relaxation, computed with GGA-PBE.

Computed properties:
M_tot: 2.03 μB/f.u.
energy relative to the elements, uncorrected: -0.959 eV/atom
calculated density: 3.9 g/cm3
N(E_F): 0.053 states/eV per atom
volume: 252.6 Å³/f.u.

a = 6.036 Å, b = 6.036 Å, c = 13.868 Å
α = 90.00°, β = 90.00°, γ = 90.00°
Space group I-42m (No. 121)
One atom of each set of equivalent atoms:
Ho  0.000  0.500  0.250
Te  0.000  0.000  0.000
S  0.234  0.234  0.144


- Among the records above, which one has the highest M_tot?
  La2TlCrC


- What is the volume in the fourth record?
  125.4 Å³/f.u.


- Which formula does entry 1 have?
  LiTa4Co